Compound: Pm6Ho5Sc
Source: Alexandria via LeMat-Bulk
Functional: GGA-PBE
Structure: optimized geometry

Cell: 9.436 9.436 9.436 Å, 148.83 116.10 72.81°
Sites, in units of the cell vectors:
Pm 0.082 0.334 0.748
Pm 0.246 0.000 0.246
Pm 0.413 0.666 0.748
Pm 0.587 0.334 0.252
Pm 0.754 0.000 0.754
Pm 0.918 0.666 0.252
Ho 0.166 0.166 0.000
Ho 0.334 0.834 0.500
Ho 0.500 0.500 0.000
Ho 0.666 0.166 0.500
Ho 0.834 0.834 0.000
Sc 0.000 0.500 0.500

* energy relative to the elements: 0.025 eV per atom
* M_tot: 0.00 μB/cell